Below is a relaxed La2YMgF crystal, with properties calculated at the PBE level.

a b c (Å): 5.2338 5.2338 4.8884
angles (deg): 90.00 90.00 90.00
Space group P4/mmm (No. 123)
Asymmetric unit:
La: 0.0000 0.5000 0.0000 [2 per cell]
Y: 0.0000 0.0000 0.5000 [1 per cell]
Mg: 0.5000 0.5000 0.5000 [1 per cell]
F: 0.0000 0.0000 0.0000 [1 per cell]

## Properties
final energy	-0.3621	Ry/atom
formation energy from raw total energies	-0.97	eV per atom
D(E_F)	0.78	states/eV/atom
total moment	0.00	μB/f.u.